# 1
This record from Alexandria describes crystalline K2LiCo at its relaxed geometry. The functional is PBE.

Cell lengths 5.759, 5.759, 4.458 Å; angles 90.00, 90.00, 90.06 degrees
Site moments in Bohr magnetons follow the coordinates.
Fractional coordinates of all 4 atoms:
Co 0.000 0.500 0.500  2.02
K 0.000 0.000 0.000  0.00
K 0.500 0.500 0.000  0.00
Li 0.500 0.000 0.500  0.00

Summary:
ΔH_f (0 K), eV per atom: 0.82
Final energy, eV per atom: -1.99
Calculated volume, Å³/cell: 147.9
Magnetization, μB per formula unit: 2.09
Fermi-level density of states, states/eV/f.u.: 2.043
Symmetry: Cmmm (65)

---

# 2
This record from Alexandria describes crystalline Ni2Pd2Rh at its relaxed geometry. The functional is PBE.

Cell lengths 7.230, 7.230, 2.713 Å; angles 90.00, 90.00, 90.00 degrees
Site moments in Bohr magnetons follow the coordinates.
Fractional coordinates of all 10 atoms:
Ni 0.166 0.666 0.500  0.83
Ni 0.666 0.834 0.500  0.82
Ni 0.834 0.334 0.500  0.83
Ni 0.334 0.166 0.500  0.82
Rh 0.000 0.000 0.000  1.10
Rh 0.500 0.500 0.000  1.10
Pd 0.367 0.867 0.000  0.33
Pd 0.867 0.633 0.000  0.32
Pd 0.633 0.133 0.000  0.33
Pd 0.133 0.367 0.000  0.32

Summary:
ΔH_f (0 K), eV per atom: 0.29
Final energy, eV per atom: -5.57
Calculated volume, Å³/cell: 141.8
Magnetization, μB per formula unit: 3.30
Fermi-level density of states, states/eV/f.u.: 8.968
Symmetry: P4/mbm (127)

---

# 3
This record from Alexandria describes crystalline TlTc2Te at its relaxed geometry. The functional is PBE.

Cell lengths 4.761, 4.761, 4.761 Å; angles 60.00, 60.00, 60.00 degrees
Fractional coordinates of all 4 atoms:
Tc 0.000 0.000 0.000
Tc 0.250 0.250 0.250
Te 0.500 0.500 0.500
Tl 0.750 0.750 0.750

Summary:
Final energy, eV per atom: -5.65
Calculated volume, Å³/cell: 76.3
Formation energy from raw total energies, eV per atom: 0.91
Magnetization, μB per formula unit: 0.02
Fermi-level density of states, states/eV/f.u.: 3.671
Symmetry: F-43m (216)

---

# 4
This record from Alexandria describes crystalline Mg6ZnW at its relaxed geometry. The functional is PBE.

Cell lengths 6.120, 6.120, 4.850 Å; angles 90.00, 90.00, 121.70 degrees
Fractional coordinates of all 8 atoms:
Mg 0.830 0.673 0.000
Mg 0.327 0.170 0.000
Mg 0.654 0.824 0.500
Mg 0.176 0.346 0.500
Mg 0.677 0.323 0.500
Mg 0.177 0.823 0.500
Zn 0.833 0.167 0.000
W 0.327 0.673 0.000

Summary:
ΔH_f (0 K), eV per atom: 0.27
Final energy, eV per atom: -2.71
Calculated volume, Å³/cell: 154.5
Magnetization, μB per formula unit: 0.00
Fermi-level density of states, states/eV/f.u.: 4.563
Symmetry: Amm2 (38)